1.
Crystalline Ba3PmPr2Te6 at its relaxed geometry. Source: Alexandria via LeMat-Bulk, functional PBE-GGA.

abc: 8.091 8.091 8.358
angles: 99.30 99.30 119.92
Fractional coordinates of all 12 atoms:
Ba 0.500 0.500 0.500
Ba 0.832 0.168 0.500
Ba 0.168 0.832 0.500
Pr 0.334 0.666 0.000
Pr 0.666 0.334 0.000
Te 0.075 0.405 0.225
Te 0.595 0.925 0.775
Te 0.746 0.746 0.226
Te 0.925 0.595 0.775
Te 0.254 0.254 0.774
Te 0.405 0.075 0.225
Pm 0.000 0.000 0.000

Calculated values
- Formation energy without anion corrections: -1584 meV per atom
- SG: C2/m (12)

2.
Crystalline ScTc2Sb at its relaxed geometry. Source: Alexandria via LeMat-Bulk, functional PBE-GGA.

abc: 3.040 3.040 8.493
angles: 90.00 90.00 113.18
Fractional coordinates of all 4 atoms:
Tc 0.000 0.000 0.005
Tc 0.000 0.000 0.495
Sb 0.500 0.500 0.250
Sc 0.500 0.500 0.750

Calculated values
- Formation energy without anion corrections: 266 meV per atom
- SG: Cmmm (65)

3.
Crystalline ScTiTcOs at its relaxed geometry. Source: Alexandria via LeMat-Bulk, functional PBE-GGA.

abc: 4.469 4.469 4.469
angles: 60.00 60.00 60.00
Fractional coordinates of all 4 atoms:
Sc 0.750 0.750 0.750
Ti 0.250 0.250 0.250
Tc 0.500 0.500 0.500
Os 0.000 0.000 0.000

Calculated values
- SG: F-43m (216)
- Formation enthalpy at 0 K: -0.38 eV/atom